[1]
Material: ZrMo5
Method: DFT, PBE
State: relaxed

The structure belongs to space group Cmmm (No. 65); the cell edges are 4.571, 13.624 and 3.211 Å and the angles 90.00°, 90.00° and 90.00°. The asymmetric unit holds Zr at (0.000, 0.000, 0.000), Mo at (0.000, 0.173, 0.500), Mo at (0.000, 0.332, 0.000) and Mo at (0.000, 0.500, 0.500).

For the electronic total energy, the calculation gives -10.474 eV/atom. The calculation puts the formation energy at -0.02 eV per atom. Its calculated volume is 16.7 A^3/atom. Its total magnetic moment is 0.00 μB per cell. Its energy above the most stable polymorph in this dataset is 0.0156 eV/atom.

[2]
Material: ZrMo5
Method: DFT, PBE
State: relaxed

The structure belongs to space group F-43m (No. 216); the cell edges are 7.483, 7.483 and 7.483 Å and the angles 90.00°, 90.00° and 90.00°. The asymmetric unit holds Zr at (0.000, 0.000, 0.000), Mo at (0.125, 0.125, 0.375) and Mo at (0.250, 0.250, 0.750).

For the electronic total energy, the calculation gives -10.329 eV/atom. The calculation puts the formation energy at 0.12 eV per atom. Its calculated volume is 17.5 A^3/atom. Its total magnetic moment is 0.00 μB per cell. Its energy above the most stable polymorph in this dataset is 0.1612 eV/atom.

[3]
Material: Zr3Mo
Method: DFT, PBE
State: relaxed

The structure belongs to space group Pm-3m (No. 221); the cell edges are 5.111, 5.111 and 5.111 Å and the angles 90.00°, 90.00° and 90.00°. The asymmetric unit holds Zr at (0.000, 0.000, 0.500) and Mo at (0.000, 0.000, 0.000).

For the electronic total energy, the calculation gives -7.830 eV/atom. The calculation puts the formation energy at 1.29 eV per atom. Its calculated volume is 33.4 A^3/atom. Its total magnetic moment is 0.00 μB per cell. Its energy above the most stable polymorph in this dataset is 1.2962 eV/atom.

[4]
Material: Na3N
Method: DFT, PBE
State: relaxed

The structure belongs to space group P6_3cm (No. 185); the cell edges are 7.7215, 7.7215 and 7.8017 Å and the angles 90.00°, 90.00° and 120.00°. The asymmetric unit holds Na at (0.0000, 0.0000, 0.0000), Na at (0.0000, 0.2791, 0.2221), Na at (0.0000, 0.3849, 0.8665), Na at (0.3333, 0.6667, 0.0703) and N at (0.0000, 0.3263, 0.5471).

For the electronic total energy, the calculation gives -2.758 eV/atom. The calculation puts the uncorrected formation energy at 313 meV/atom. Its calculated volume is 16.8 A^3/atom. Its total magnetic moment is 0.00 μB per cell.

[5]
Material: Na3N
Method: DFT, PBE
State: relaxed

The structure belongs to space group Pm-3m (No. 221); the cell edges are 4.746, 4.746 and 4.746 Å and the angles 90.00°, 90.00° and 90.00°. The asymmetric unit holds Na at (0.000, 0.000, 0.500) and N at (0.000, 0.000, 0.000).

For the electronic total energy, the calculation gives -2.837 eV/atom. The calculation puts the uncorrected formation energy at 234 meV/atom. Its calculated volume is 26.7 A^3/atom. Its total magnetic moment is 0.04 μB per cell.

[6]
Material: Na3N
Method: DFT, PBE
State: relaxed

The structure belongs to space group Fm-3m (No. 225); the cell edges are 6.287, 6.287 and 6.287 Å and the angles 90.00°, 90.00° and 90.00°. The asymmetric unit holds Na at (0.000, 0.000, 0.000), Na at (0.250, 0.250, 0.250) and N at (0.000, 0.000, 0.500).

For the electronic total energy, the calculation gives -2.602 eV/atom. The calculation puts the uncorrected formation energy at 469 meV/atom. Its calculated volume is 15.5 A^3/atom. Its total magnetic moment is 0.00 μB per cell.

[7]
Material: Na3N
Method: DFT, PBE
State: relaxed

The structure belongs to space group Pnma (No. 62); the cell edges are 6.721, 7.948 and 5.638 Å and the angles 90.00°, 90.00° and 90.00°. The asymmetric unit holds Na at (0.055, 0.250, 0.169), Na at (0.149, 0.076, 0.674) and N at (0.139, 0.750, 0.466).

For the electronic total energy, the calculation gives -2.797 eV/atom. The calculation puts the uncorrected formation energy at 273 meV/atom. Its calculated volume is 18.8 A^3/atom. Its total magnetic moment is 0.16 μB per cell.

[8]
Material: Na3N
Method: DFT, PBE
State: relaxed

The structure belongs to space group P6/mmm (No. 191); the cell edges are 4.4810, 4.4810 and 4.7548 Å and the angles 90.00°, 90.00° and 120.00°. The asymmetric unit holds Na at (0.0000, 0.0000, 0.0000), Na at (0.3333, 0.6667, 0.5000) and N at (0.0000, 0.0000, 0.5000).

For the electronic total energy, the calculation gives -2.802 eV/atom. The calculation puts the uncorrected formation energy at 269 meV/atom. Its calculated volume is 20.7 A^3/atom. Its total magnetic moment is 0.00 μB per cell.

[9]
Material: Na4N
Method: DFT, PBE
State: relaxed

The structure belongs to space group Pm-3m (No. 221); the cell edges are 4.916, 4.916 and 4.916 Å and the angles 90.00°, 90.00° and 90.00°. The asymmetric unit holds Na at (0.000, 0.000, 0.000), Na at (0.000, 0.500, 0.500) and N at (0.500, 0.500, 0.500).

For the electronic total energy, the calculation gives -2.443 eV/atom. The calculation puts the uncorrected formation energy at 277 meV/atom. Its calculated volume is 23.8 A^3/atom. Its total magnetic moment is 0.00 μB per cell.

[10]
Material: NaN2
Method: DFT, PBE
State: relaxed

The structure belongs to space group I4/mmm (No. 139); the cell edges are 3.716, 3.716 and 5.963 Å and the angles 90.00°, 90.00° and 90.00°. The asymmetric unit holds Na at (0.000, 0.000, 0.000) and N at (0.000, 0.000, 0.400).

For the electronic total energy, the calculation gives -6.016 eV/atom. The calculation puts the uncorrected formation energy at -27 meV/atom. Its calculated volume is 13.7 A^3/atom. Its total magnetic moment is 0.00 μB per cell. Its energy above the most stable polymorph in this dataset is 0.0000 eV/atom.

[11]
Material: NaNbN2
Method: DFT, PBE
State: relaxed

The structure belongs to space group I-42d (No. 122); the cell edges are 5.372, 5.372 and 8.938 Å and the angles 90.00°, 90.00° and 90.00°. The asymmetric unit holds Na at (0.000, 0.000, 0.000), Nb at (0.000, 0.000, 0.500) and N at (0.166, 0.250, 0.625).

For the electronic total energy, the calculation gives -7.758 eV/atom. The calculation puts the uncorrected formation energy at -748 meV/atom. Its calculated volume is 16.1 A^3/atom. Its total magnetic moment is 0.00 μB per cell.

[12]
Material: NaNb2N3
Method: DFT, PBE
State: relaxed

The structure belongs to space group P2_1/m (No. 11); the cell edges are 5.555, 3.089 and 8.216 Å and the angles 90.00°, 103.35° and 90.00°. The asymmetric unit holds Na at (0.023, 0.250, 0.348), Nb at (0.233, 0.250, 0.991), Nb at (0.498, 0.250, 0.675), N at (0.146, 0.750, 0.156), N at (0.309, 0.750, 0.517) and N at (0.386, 0.750, 0.846).

For the electronic total energy, the calculation gives -8.499 eV/atom. The calculation puts the uncorrected formation energy at -760 meV/atom. Its calculated volume is 11.4 A^3/atom. Its total magnetic moment is 0.00 μB per cell.

Number 1: DOS at the Fermi energy 6.0 states/eV/cell. Number 2: DOS at the Fermi energy 32.4 states/eV/cell. Number 3: DOS at the Fermi energy 6.2 states/eV/cell. Number 4: DOS at the Fermi energy 13.3 states/eV/cell. Number 5: DOS at the Fermi energy 2.6 states/eV/cell. Number 6: DOS at the Fermi energy 7.4 states/eV/cell. Number 7: DOS at the Fermi energy 9.8 states/eV/cell. Number 8: DOS at the Fermi energy 2.5 states/eV/cell. Number 9: DOS at the Fermi energy 2.9 states/eV/cell. Number 10: DOS at the Fermi energy 3.7 states/eV/cell. Number 11: DOS at the Fermi energy 0.0 states/eV/cell. Number 12: DOS at the Fermi energy 3.8 states/eV/cell.